# 1
Below is a relaxed structure of Dy2S3O12, with properties calculated at the GGA-PBEsol level.

Unit cell a=9.2182 b=9.3075 c=12.8695 alpha=90.00 beta=90.00 gamma=90.00
Fractional coordinates of all 68 atoms:
O  0.3741  0.8491  0.9404
O  0.9415  0.1684  0.5732
O  0.9496  0.0914  0.1460
O  0.0585  0.8316  0.4268
O  0.4415  0.1684  0.9268
O  0.8252  0.9838  0.7761
O  0.3336  0.5724  0.4583
O  0.5504  0.9086  0.6460
S  0.9668  0.7500  0.5000
S  0.8915  0.6108  0.1449
O  0.8336  0.5724  0.0417
O  0.5585  0.8316  0.0732
O  0.1748  0.0162  0.2239
O  0.1424  0.2376  0.8314
O  0.1664  0.4276  0.9583
O  0.3252  0.5162  0.2761
Dy  0.2502  0.4645  0.1174
O  0.3576  0.7624  0.3314
O  0.1424  0.2624  0.1686
S  0.6085  0.1108  0.3551
O  0.6259  0.3491  0.9404
S  0.4668  0.7500  0.0000
S  0.5332  0.2500  0.0000
O  0.6424  0.2376  0.6686
S  0.6085  0.3892  0.6449
Dy  0.7502  0.4645  0.3826
O  0.8336  0.9276  0.9583
O  0.5585  0.6684  0.9268
O  0.0504  0.5914  0.1460
S  0.1085  0.3892  0.8551
O  0.0585  0.6684  0.5732
O  0.1259  0.3491  0.5596
O  0.8741  0.8491  0.5596
O  0.8252  0.5162  0.2239
O  0.4496  0.4086  0.6460
O  0.1664  0.0724  0.0417
Dy  0.2498  0.5355  0.6174
O  0.3741  0.6509  0.0596
O  0.6259  0.1509  0.0596
O  0.1748  0.4838  0.7761
S  0.3915  0.8892  0.6449
O  0.3336  0.9276  0.5417
O  0.3576  0.7376  0.6686
O  0.9496  0.4086  0.8540
O  0.3252  0.9838  0.7239
O  0.6748  0.0162  0.2761
O  0.6664  0.4276  0.5417
S  0.8915  0.8892  0.8551
O  0.1259  0.1509  0.4404
Dy  0.7498  0.9645  0.1174
O  0.6748  0.4838  0.7239
S  0.1085  0.1108  0.1449
Dy  0.7498  0.5355  0.8826
Dy  0.2498  0.9645  0.3826
O  0.8576  0.7624  0.1686
Dy  0.7502  0.0355  0.6174
O  0.0504  0.9086  0.8540
O  0.9415  0.3316  0.4268
O  0.8741  0.6509  0.4404
Dy  0.2502  0.0355  0.8826
O  0.6424  0.2624  0.3314
S  0.3915  0.6108  0.3551
O  0.6664  0.0724  0.4583
O  0.4496  0.0914  0.3540
O  0.5504  0.5914  0.3540
O  0.8576  0.7376  0.8314
O  0.4415  0.3316  0.0732
S  0.0332  0.2500  0.5000

Values from the calculation:
- Fermi-level density of states (states/eV/f.u.) = 0.0
- E_tot (eV per cell) = -494.5
- density (g/cm3) = 3.7
- spin magnetization (μB/atom) = 0.000
- energy relative to the elements, uncorrected (eV/atom) = -2.207

***

# 2
Below is a relaxed structure of Ni3Ir, with properties calculated at the GGA-PBEsol level.

Unit cell a=2.5731 b=3.5185 c=5.0187 alpha=90.00 beta=90.00 gamma=90.00
Fractional coordinates of all 4 atoms:
Ni  0.0000  0.0000  0.5000
Ir  0.0000  0.0000  0.0000
Ni  0.5000  0.5000  0.7457
Ni  0.5000  0.5000  0.2543

Values from the calculation:
- Fermi-level density of states (states/eV/f.u.) = 6.1
- E_tot (eV per cell) = -28.2
- density (g/cm3) = 13.5
- spin magnetization (μB/atom) = 0.001
- calculated formation energy (eV per formula unit) = 0.1

***

# 3
Below is a relaxed structure of GeOsSN2, with properties calculated at the GGA-PBEsol level.

Unit cell a=3.7863 b=3.7863 c=5.0448 alpha=90.00 beta=90.00 gamma=90.00
Fractional coordinates of all 5 atoms:
N  0.5000  0.0000  0.0000
Ge  0.5000  0.5000  0.5000
S  0.0000  0.0000  0.5000
Os  0.0000  0.0000  0.0000
N  0.0000  0.5000  0.0000

Values from the calculation:
- Fermi-level density of states (states/eV/f.u.) = 2.1
- E_tot (eV per cell) = -35.9
- density (g/cm3) = 7.4
- spin magnetization (μB/atom) = 0.000
- energy relative to the elements, uncorrected (eV/atom) = 0.535

***

# 4
Below is a relaxed structure of Be3CoMo, with properties calculated at the GGA-PBEsol level.

Unit cell a=4.1230 b=4.1230 c=4.1230 alpha=90.00 beta=90.00 gamma=90.00
Fractional coordinates of all 5 atoms:
Be  0.0000  0.0000  0.5000
Mo  0.0000  0.0000  0.0000
Co  0.5000  0.5000  0.5000
Be  0.5000  0.0000  0.0000
Be  0.0000  0.5000  0.0000

Values from the calculation:
- Fermi-level density of states (states/eV/f.u.) = 8.8
- E_tot (eV per cell) = -23.0
- density (g/cm3) = 4.3
- spin magnetization (μB/atom) = 0.320
- calculated formation energy (eV per formula unit) = 8.5

***

# 5
Below is a relaxed structure of CsNaRe3, with properties calculated at the GGA-PBEsol level.

Unit cell a=4.9228 b=4.9228 c=4.9228 alpha=90.00 beta=90.00 gamma=90.00
Fractional coordinates of all 5 atoms:
Re  0.0000  0.0000  0.5000
Na  0.5000  0.5000  0.5000
Cs  0.0000  0.0000  0.0000
Re  0.0000  0.5000  0.0000
Re  0.5000  0.0000  0.0000

Values from the calculation:
- Fermi-level density of states (states/eV/f.u.) = 6.3
- E_tot (eV per cell) = -22.7
- density (g/cm3) = 9.9
- spin magnetization (μB/atom) = 0.645
- calculated formation energy (eV per formula unit) = 19.6

***

# 6
Below is a relaxed structure of La4Al5Br2, with properties calculated at the GGA-PBEsol level.

Unit cell a=4.3639 b=11.8720 c=11.8720 alpha=93.68 beta=90.00 gamma=90.00
Fractional coordinates of all 22 atoms:
Al  0.5000  0.7839  0.5203
Br  0.5000  0.1226  0.1226
La  0.0000  0.6363  0.3637
Al  0.5000  0.4208  0.4208
La  0.5000  0.6769  0.0403
La  0.5000  0.3231  0.9597
Al  0.0000  0.8980  0.5286
Al  0.5000  0.5203  0.7839
La  0.5000  0.0403  0.6769
Br  0.0000  0.1723  0.8277
La  0.0000  0.2651  0.2651
Br  0.5000  0.8774  0.8774
Al  0.0000  0.4714  0.1020
La  0.0000  0.3637  0.6363
La  0.0000  0.7349  0.7349
Al  0.0000  0.1020  0.4714
Al  0.5000  0.2161  0.4797
Br  0.0000  0.8277  0.1723
La  0.5000  0.9597  0.3231
Al  0.5000  0.5792  0.5792
Al  0.0000  0.5286  0.8980
Al  0.5000  0.4797  0.2161

Values from the calculation:
- Fermi-level density of states (states/eV/f.u.) = 5.7
- E_tot (eV per cell) = -109.9
- density (g/cm3) = 4.6
- spin magnetization (μB/atom) = 0.000
- energy relative to the elements, uncorrected (eV/atom) = -0.850

***

# 7
Below is a relaxed structure of In2CoRu, with properties calculated at the GGA-PBEsol level.

Unit cell a=2.9929 b=2.9929 c=8.4284 alpha=79.77 beta=79.77 gamma=60.00
Fractional coordinates of all 4 atoms:
Co  0.0000  0.0000  0.0000
Ru  0.5000  0.5000  0.5000
In  0.2529  0.2529  0.2413
In  0.7471  0.7471  0.7587

Values from the calculation:
- Fermi-level density of states (states/eV/f.u.) = 3.9
- E_tot (eV per cell) = -22.7
- density (g/cm3) = 10.1
- spin magnetization (μB/atom) = 0.207
- calculated formation energy (eV per formula unit) = 1.2

***

# 8
Below is a relaxed structure of CoBPt2, with properties calculated at the GGA-PBEsol level.

Unit cell a=4.8850 b=5.1833 c=5.1833 alpha=77.17 beta=61.89 gamma=61.89
Fractional coordinates of all 8 atoms:
Pt  0.8750  0.5812  0.9188
Pt  0.5438  0.0812  0.5812
B  0.2500  0.5000  0.5000
B  0.5000  0.0000  0.0000
Co  0.0000  0.0000  0.0000
Pt  0.2062  0.9188  0.4188
Co  0.7500  0.5000  0.5000
Pt  0.3750  0.4188  0.0812

Values from the calculation:
- Fermi-level density of states (states/eV/f.u.) = 4.1
- E_tot (eV per cell) = -56.8
- density (g/cm3) = 15.0
- spin magnetization (μB/atom) = 0.452
- calculated formation energy (eV per formula unit) = 0.3

***

# 9
Below is a relaxed structure of LiScP2, with properties calculated at the GGA-PBEsol level.

Unit cell a=3.4622 b=3.8311 c=5.1829 alpha=111.69 beta=109.51 gamma=90.00
Fractional coordinates of all 4 atoms:
Li  0.2543  0.7543  0.5085
Sc  0.4966  0.4966  0.9932
P  0.0174  0.0174  0.0348
P  0.7318  0.2318  0.4635

Values from the calculation:
- Fermi-level density of states (states/eV/f.u.) = 1.5
- E_tot (eV per cell) = -23.2
- density (g/cm3) = 3.2
- spin magnetization (μB/atom) = 0.000
- calculated formation energy (eV per formula unit) = -3.0

***

# 10
Below is a relaxed structure of SrCdTe2, with properties calculated at the GGA-PBEsol level.

Unit cell a=4.4778 b=4.4778 c=7.7031 alpha=73.10 beta=73.10 gamma=60.00
Fractional coordinates of all 4 atoms:
Te  0.2404  0.2404  0.2787
Cd  0.5000  0.5000  0.5000
Sr  0.0000  0.0000  0.0000
Te  0.7596  0.7596  0.7213

Values from the calculation:
- E_tot (eV per cell) = -13.8
- density (g/cm3) = 6.0
- spin magnetization (μB/atom) = 0.000
- energy relative to the elements, uncorrected (eV/atom) = -0.932